This record from the Alexandria database describes a relaxed structure of HfTi6Sn6. The functional is PBE.

For the formation energy, the calculation gives -356 meV per atom. The calculation puts the total magnetic moment at 0.001 μB/atom. The calculation puts the calculated volume at 265 Å³ per cell.

The space group is P6/mmm (No. 191) and the conventional cell measures 5.6414, 5.6414 and 9.6109 Å, with angles of 90.00, 90.00 and 120.00 degrees. The asymmetric unit holds Hf at (0.0000, 0.0000, 0.0000), Ti at (0.0000, 0.5000, 0.2451), Sn at (0.0000, 0.0000, 0.3093), Sn at (0.3333, 0.6667, 0.0000) and Sn at (0.3333, 0.6667, 0.5000).

This record from the Alexandria database describes a relaxed structure of Hf2TiSn4. The functional is PBE.

For the formation energy, the calculation gives 237 meV per atom. The offset from the most stable computed form comes out at 345.9 meV per atom. The calculation puts the total magnetic moment at 0.000 μB/atom. The calculation puts the calculated volume at 383 Å³ per cell.

The space group is I4/mmm (No. 139) and the conventional cell measures 5.2072, 5.2072 and 14.1197 Å, with angles of 90.00, 90.00 and 90.00 degrees. The asymmetric unit holds Hf at (0.0000, 0.0000, 0.1026), Ti at (0.0000, 0.0000, 0.5000), Sn at (0.0000, 0.0000, 0.3067) and Sn at (0.0000, 0.5000, 0.0000).

This record from the Alexandria database describes a relaxed structure of Hf2Ti4Sn. The functional is PBE.

For the formation energy, the calculation gives -9 meV per atom. The offset from the most stable computed form comes out at 0.0 meV per atom. The calculation puts the total magnetic moment at 0.102 μB/atom. The calculation puts the calculated volume at 541 Å³ per cell.

The space group is C2/c (No. 15) and the conventional cell measures 9.6556, 5.5282 and 10.9949 Å, with angles of 90.00, 112.68 and 90.00 degrees. The asymmetric unit holds Hf at (0.1735, 0.0102, 0.0067), Ti at (0.0000, 0.1948, 0.2500), Ti at (0.0000, 0.3107, 0.7500), Ti at (0.2451, 0.1193, 0.7724) and Sn at (0.0000, 0.5000, 0.0000).